Entry 1:
The following is a DFT calculation (PBE) of Tl3Hg2Te after structural relaxation.

a = 6.9370 Å, b = 6.9429 Å, c = 8.8974 Å
α = 72.34°, β = 71.68°, γ = 74.76°
Space group P-1 (No. 2)
Asymmetric unit:
Tl 0.0951 0.0924 0.1877
Tl 0.2765 0.2253 0.5004
Tl 0.4016 0.4078 0.8129
Hg 0.1079 0.6041 0.1552
Hg 0.3982 0.9001 0.8437
Te 0.2159 0.7162 0.4982

Properties
The calculated volume comes out at 31.7 Å³/atom. Its raw formation energy is -128 meV/atom.


Entry 2:
The following is a DFT calculation (PBE) of ZrRu2 after structural relaxation.

a = 10.2592 Å, b = 2.9417 Å, c = 6.8861 Å
α = 90.00°, β = 107.81°, γ = 90.00°
Space group C2/m (No. 12)
Asymmetric unit:
Zr 0.1695 0.0000 0.1441
Ru 0.0470 0.5000 0.7845
Ru 0.1368 0.0000 0.5201

Properties
The calculated volume comes out at 16.5 Å³/atom. Its formation enthalpy at 0 K is -110 meV/atom.


Entry 3:
The following is a DFT calculation (PBE) of Ti2OF2 after structural relaxation.

a = 6.1576 Å, b = 6.1576 Å, c = 2.7176 Å
α = 90.00°, β = 90.00°, γ = 90.00°
Space group P4/mbm (No. 127)
Asymmetric unit:
Ti 0.2031 0.2969 0.0000
O 0.0000 0.0000 0.5000
F 0.1192 0.6192 0.5000

Properties
The calculated volume comes out at 10.3 Å³/atom. Its raw formation energy is -1617 meV/atom. The calculation puts the offset from the most stable computed form at 1035.4 meV per atom.


Entry 4:
The following is a DFT calculation (PBE) of ZrMnCd2Fe after structural relaxation.

a = 5.4279 Å, b = 5.4279 Å, c = 4.3127 Å
α = 90.00°, β = 90.00°, γ = 90.00°
Space group P4/mmm (No. 123)
Asymmetric unit:
Zr 0.0000 0.0000 0.0000
Mn 0.5000 0.5000 0.5000
Cd 0.0000 0.5000 0.0000
Fe 0.0000 0.0000 0.5000

Properties
The calculated volume comes out at 25.4 Å³/atom. Its formation enthalpy at 0 K is 1896 meV/atom.